A | The following is a DFT calculation (PBE-GGA) of crystalline BaAsSe at its relaxed geometry.

abc: 5.356 5.356 5.356
angles: 60.00 60.00 60.00
Site moments in Bohr magnetons follow the coordinates.
Element x y z (fractional)
As 0.500 0.500 0.500  0.28
Ba 0.750 0.750 0.750  0.04
Se 0.000 0.000 0.000  0.10

As for the volume: 108.6 Å³/f.u. As for the space group: F-43m, No. 216. As for the crystal system: cubic. The value obtained for the density of states at the Fermi level is 4.34 states/eV per cell.


B | The following is a DFT calculation (PBE-GGA) of crystalline BaAsSe at its relaxed geometry.

abc: 5.213 5.213 5.213
angles: 60.00 60.00 60.00
Element x y z (fractional)
As 0.000 0.000 0.000
Ba 0.500 0.500 0.500
Se 0.750 0.750 0.750

As for the volume: 100.2 Å³/f.u. As for the space group: F-43m, No. 216. As for the crystal system: cubic. The value obtained for the density of states at the Fermi level is 3.71 states/eV per cell.


Name the least stable of them. A.


A | The following is a DFT calculation (PBE-GGA) of crystalline BaAs2Se4 at its relaxed geometry.

abc: 6.693 6.693 6.693
angles: 104.11 104.11 120.83
Element x y z (fractional)
Ba 0.500 0.500 0.000
As 0.250 0.750 0.500
As 0.750 0.250 0.500
Se 0.302 0.145 0.447
Se 0.855 0.302 0.157
Se 0.145 0.698 0.843
Se 0.698 0.855 0.553

As for the volume: 223.9 Å³/f.u. As for the space group: I4/m, No. 87. As for the crystal system: tetragonal.


B | The following is a DFT calculation (PBE-GGA) of crystalline BaAs2Se4 at its relaxed geometry.

abc: 10.018 10.013 7.016
angles: 105.30 111.38 124.01
Element x y z (fractional)
As 0.666 0.290 0.734
As 0.596 0.391 0.197
As 0.058 0.353 0.700
As 0.695 0.819 0.236
Ba 0.164 0.730 0.519
Ba 0.040 0.105 0.020
Se 0.867 0.229 0.259
Se 0.564 0.608 0.384
Se 0.618 0.010 0.631
Se 0.430 0.144 0.274
Se 0.025 0.570 0.883
Se 0.381 0.596 0.777
Se 0.869 0.762 0.130
Se 0.278 0.142 0.757

As for the volume: 216.1 Å³/f.u. As for the space group: P1, No. 1. As for the crystal system: triclinic.


Name the least stable of them. A.


A | The following is a DFT calculation (PBE-GGA) of crystalline BaSiAsSe2 at its relaxed geometry.

abc: 6.064 6.064 6.086
angles: 90.00 90.00 90.00
Site moments in Bohr magnetons follow the coordinates.
Element x y z (fractional)
As 0.000 0.000 0.500  0.74
Si 0.500 0.500 0.500  -0.28
Ba 0.000 0.000 0.000  0.04
Se 0.000 0.500 0.000  0.48
Se 0.500 0.000 0.000  0.48

As for the volume: 223.8 Å³/f.u. As for the space group: P4/mmm, No. 123. As for the crystal system: tetragonal. The value obtained for the density of states at the Fermi level is 6.49 states/eV per cell.


B | The following is a DFT calculation (PBE-GGA) of crystalline BaSiAsSe2 at its relaxed geometry.

abc: 5.154 5.154 4.821
angles: 90.00 90.00 90.00
Element x y z (fractional)
As 0.000 0.000 0.500
Si 0.000 0.000 0.000
Ba 0.500 0.500 0.500
Se 0.000 0.500 0.000
Se 0.500 0.000 0.000

As for the volume: 128.0 Å³/f.u. As for the space group: P4/mmm, No. 123. As for the crystal system: tetragonal. The value obtained for the density of states at the Fermi level is 2.89 states/eV per cell.


Name the least stable of them. A.


A | The following is a DFT calculation (PBE-GGA) of crystalline BaSnAs2Se at its relaxed geometry.

abc: 5.302 5.302 5.508
angles: 90.00 90.00 90.00
Element x y z (fractional)
As 0.000 0.500 0.000
As 0.500 0.000 0.000
Ba 0.500 0.500 0.500
Se 0.000 0.000 0.500
Sn 0.000 0.000 0.000

As for the volume: 154.9 Å³/f.u. As for the space group: P4/mmm, No. 123. As for the crystal system: tetragonal. The value obtained for the density of states at the Fermi level is 5.13 states/eV per cell.


B | The following is a DFT calculation (PBE-GGA) of crystalline BaSnAs2Se at its relaxed geometry.

abc: 5.714 5.714 5.901
angles: 90.00 90.00 90.00
Element x y z (fractional)
As 0.000 0.500 0.000
As 0.500 0.000 0.000
Ba 0.000 0.000 0.000
Se 0.000 0.000 0.500
Sn 0.500 0.500 0.500

As for the volume: 192.6 Å³/f.u. As for the space group: P4/mmm, No. 123. As for the crystal system: tetragonal. The value obtained for the density of states at the Fermi level is 4.64 states/eV per cell.


Name the least stable of them. B.


A | The following is a DFT calculation (PBE-GGA) of crystalline BaSrAsSe2 at its relaxed geometry.

abc: 5.740 5.740 5.573
angles: 90.00 90.00 90.00
Element x y z (fractional)
Sr 0.000 0.000 0.000
As 0.000 0.000 0.500
Ba 0.500 0.500 0.500
Se 0.000 0.500 0.000
Se 0.500 0.000 0.000

As for the volume: 183.7 Å³/f.u. As for the space group: P4/mmm, No. 123. As for the crystal system: tetragonal. The value obtained for the density of states at the Fermi level is 6.24 states/eV per cell.


B | The following is a DFT calculation (PBE-GGA) of crystalline BaSrAsSe2 at its relaxed geometry.

abc: 5.928 5.928 5.693
angles: 90.00 90.00 90.00
Element x y z (fractional)
Sr 0.500 0.500 0.500
As 0.000 0.000 0.500
Ba 0.000 0.000 0.000
Se 0.000 0.500 0.000
Se 0.500 0.000 0.000

As for the volume: 200.1 Å³/f.u. As for the space group: P4/mmm, No. 123. As for the crystal system: tetragonal. The value obtained for the density of states at the Fermi level is 6.45 states/eV per cell.


Name the least stable of them. B.


A | The following is a DFT calculation (PBE-GGA) of crystalline BaSrAs2Se at its relaxed geometry.

abc: 5.711 5.711 5.959
angles: 90.00 90.00 90.00
Element x y z (fractional)
Sr 0.500 0.500 0.500
As 0.000 0.500 0.000
As 0.500 0.000 0.000
Ba 0.000 0.000 0.000
Se 0.000 0.000 0.500

As for the volume: 194.3 Å³/f.u. As for the space group: P4/mmm, No. 123. As for the crystal system: tetragonal. The value obtained for the density of states at the Fermi level is 5.12 states/eV per cell.


B | The following is a DFT calculation (PBE-GGA) of crystalline BaSrAs2Se at its relaxed geometry.

abc: 5.620 5.620 5.737
angles: 90.00 90.00 90.00
Element x y z (fractional)
Sr 0.000 0.000 0.000
As 0.000 0.500 0.000
As 0.500 0.000 0.000
Ba 0.500 0.500 0.500
Se 0.000 0.000 0.500

As for the volume: 181.2 Å³/f.u. As for the space group: P4/mmm, No. 123. As for the crystal system: tetragonal. The value obtained for the density of states at the Fermi level is 5.78 states/eV per cell.


Name the least stable of them. A.


A | The following is a DFT calculation (PBE-GGA) of crystalline BaTaAs2Se at its relaxed geometry.

abc: 5.053 5.053 5.247
angles: 90.00 90.00 90.00
Element x y z (fractional)
As 0.000 0.500 0.000
As 0.500 0.000 0.000
Ba 0.500 0.500 0.500
Se 0.000 0.000 0.500
Ta 0.000 0.000 0.000

As for the volume: 134.0 Å³/f.u. As for the space group: P4/mmm, No. 123. As for the crystal system: tetragonal. The value obtained for the density of states at the Fermi level is 3.28 states/eV per cell.


B | The following is a DFT calculation (PBE-GGA) of crystalline BaTaAs2Se at its relaxed geometry.

abc: 5.480 5.480 5.680
angles: 90.00 90.00 90.00
Element x y z (fractional)
As 0.000 0.500 0.000
As 0.500 0.000 0.000
Ba 0.000 0.000 0.000
Se 0.000 0.000 0.500
Ta 0.500 0.500 0.500

As for the volume: 170.6 Å³/f.u. As for the space group: P4/mmm, No. 123. As for the crystal system: tetragonal. The value obtained for the density of states at the Fermi level is 9.98 states/eV per cell.


Name the least stable of them. B.


A | The following is a DFT calculation (PBE-GGA) of crystalline BaTcAs2Se at its relaxed geometry.

abc: 5.716 5.716 5.871
angles: 90.00 90.00 90.00
Site moments in Bohr magnetons follow the coordinates.
Element x y z (fractional)
As 0.000 0.500 0.000  -0.12
As 0.500 0.000 0.000  -0.12
Ba 0.000 0.000 0.000  0.02
Se 0.000 0.000 0.500  -0.07
Tc 0.500 0.500 0.500  4.00

As for the volume: 191.8 Å³/f.u. As for the space group: P4/mmm, No. 123. As for the crystal system: tetragonal. The value obtained for the density of states at the Fermi level is 5.55 states/eV per cell.


B | The following is a DFT calculation (PBE-GGA) of crystalline BaTcAs2Se at its relaxed geometry.

abc: 4.751 4.751 5.847
angles: 90.00 90.00 90.00
Element x y z (fractional)
As 0.000 0.500 0.000
As 0.500 0.000 0.000
Ba 0.500 0.500 0.500
Se 0.000 0.000 0.500
Tc 0.000 0.000 0.000

As for the volume: 132.0 Å³/f.u. As for the space group: P4/mmm, No. 123. As for the crystal system: tetragonal. The value obtained for the density of states at the Fermi level is 4.07 states/eV per cell.


Name the least stable of them. A.